1.
NaNbOsO6: relaxed, GGA-PBE.

Cell: 4.8962 4.8962 9.3481 Å, 90.00 90.00 90.00°
Fractional coordinates of all 18 atoms:
O: 0.7256 0.7256 0.3075
Na: 0.5000 0.5000 0.5022
O: 0.8278 0.1722 0.4924
O: 0.2744 0.2744 0.3075
Nb: 0.0000 0.0000 0.6714
O: 0.7867 0.2133 0.1985
O: 0.7133 0.7133 0.6985
O: 0.3278 0.3278 0.9924
Os: 0.5000 0.5000 0.8296
Os: 0.0000 0.0000 0.3296
O: 0.7744 0.2256 0.8075
Na: 0.0000 0.0000 0.0022
O: 0.2133 0.7867 0.1985
Nb: 0.5000 0.5000 0.1714
O: 0.6722 0.6722 0.9924
O: 0.2256 0.7744 0.8075
O: 0.1722 0.8278 0.4924
O: 0.2867 0.2867 0.6985

uncorrected energy	-7.505	eV/atom
space-group type	P4_2nm (102)
mass density	6.0	g cm⁻³
energy relative to the elements, uncorrected	-1.686	eV/atom


2.
NaNbP2O: relaxed, GGA-PBE.

Cell: 4.6582 4.6582 3.8207 Å, 90.00 90.00 90.00°
Fractional coordinates of all 5 atoms:
O: 0.0000 0.0000 0.5000
P: 0.0000 0.5000 0.0000
Na: 0.0000 0.0000 0.0000
P: 0.5000 0.0000 0.0000
Nb: 0.5000 0.5000 0.5000

uncorrected energy	-4.414	eV/atom
space-group type	P4/mmm (123)
mass density	3.9	g cm⁻³
energy relative to the elements, uncorrected	1.020	eV/atom
excess energy over the best structure of this formula in the dataset	1584	meV per atom


3.
NaNb4P6O24: relaxed, GGA-PBE.

Cell: 9.0741 9.0741 9.0741 Å, 58.45 58.45 58.45°
Last column: magnetic moment on the atom in μB.
Fractional coordinates of all 35 atoms:
O: 0.6355 0.7761 0.0064  -0.01
O: 0.9414 0.7064 0.0789  0.00
P: 0.2522 0.9607 0.5343  0.01
O: 0.2239 0.9936 0.3645  -0.01
O: 0.9211 0.0586 0.2936  0.00
Nb: 0.6450 0.6450 0.6450  0.79
Nb: 0.1417 0.1417 0.1417  0.54
O: 0.3645 0.2239 0.9936  -0.01
P: 0.7478 0.0393 0.4657  0.01
Na: 0.5000 0.5000 0.5000  0.00
O: 0.7064 0.0789 0.9414  0.00
O: 0.4163 0.7793 0.5642  0.00
P: 0.4657 0.7478 0.0393  0.01
O: 0.7090 0.8774 0.4959  -0.01
O: 0.8774 0.4959 0.7090  -0.01
O: 0.2910 0.1226 0.5041  -0.01
O: 0.5041 0.2910 0.1226  -0.01
O: 0.2207 0.4358 0.5837  0.00
O: 0.0064 0.6355 0.7761  -0.01
O: 0.0789 0.9414 0.7064  0.00
Nb: 0.3550 0.3550 0.3550  0.79
O: 0.9936 0.3645 0.2239  -0.01
P: 0.5343 0.2522 0.9607  0.01
P: 0.0393 0.4657 0.7478  0.01
O: 0.4959 0.7090 0.8774  -0.01
O: 0.5837 0.2207 0.4358  0.00
O: 0.2936 0.9211 0.0586  0.00
O: 0.4358 0.5837 0.2207  0.00
O: 0.7793 0.5642 0.4163  0.00
Nb: 0.8582 0.8582 0.8582  0.54
P: 0.9607 0.5343 0.2522  0.01
O: 0.7761 0.0064 0.6355  -0.01
O: 0.5642 0.4163 0.7793  0.00
O: 0.1226 0.5041 0.2910  -0.01
O: 0.0586 0.2936 0.9211  0.00

uncorrected energy	-7.855	eV/atom
space-group type	R-3 (148)
mass density	3.1	g cm⁻³
energy relative to the elements, uncorrected	-2.339	eV/atom


4.
NaNbPO2: relaxed, GGA-PBE.

Cell: 3.8840 3.8840 4.8190 Å, 90.00 90.00 90.00°
Last column: magnetic moment on the atom in μB.
Fractional coordinates of all 5 atoms:
Nb: 0.5000 0.5000 0.5000  -0.76
O: 0.0000 0.5000 0.0000  0.69
O: 0.5000 0.0000 0.0000  0.69
P: 0.0000 0.0000 0.5000  0.25
Na: 0.0000 0.0000 0.0000  0.01

uncorrected energy	-4.794	eV/atom
space-group type	P4/mmm (123)
mass density	4.1	g cm⁻³
energy relative to the elements, uncorrected	0.549	eV/atom
excess energy over the best structure of this formula in the dataset	1880	meV per atom


5.
NaNbPO2: relaxed, GGA-PBE.

Cell: 4.0011 4.0011 5.1524 Å, 90.00 90.00 90.00°
Last column: magnetic moment on the atom in μB.
Fractional coordinates of all 5 atoms:
Na: 0.5000 0.5000 0.5000  0.01
Nb: 0.0000 0.0000 0.0000  -0.05
O: 0.0000 0.5000 0.0000  0.08
O: 0.5000 0.0000 0.0000  0.08
P: 0.0000 0.0000 0.5000  0.28

uncorrected energy	-6.674	eV/atom
space-group type	P4/mmm (123)
mass density	3.6	g cm⁻³
energy relative to the elements, uncorrected	-1.331	eV/atom
excess energy over the best structure of this formula in the dataset	0	meV per atom


6.
NaNb2PO8: relaxed, GGA-PBE.

Cell: 5.4974 6.8148 18.2069 Å, 90.01 90.00 90.00°
Fractional coordinates of all 48 atoms:
O: 0.4857 0.8474 0.1053
O: 0.7654 0.9880 0.3630
P: 0.2853 0.3044 0.1864
O: 0.9532 0.6556 0.3296
Nb: 0.2751 0.4890 0.3732
Nb: 0.7561 0.3399 0.9611
O: 0.7908 0.8763 0.2328
O: 0.4532 0.3444 0.6704
O: 0.4735 0.0273 0.4917
O: 0.0628 0.4725 0.9916
O: 0.7698 0.3428 0.5406
P: 0.7504 0.8046 0.3136
Nb: 0.2607 0.0112 0.8733
O: 0.9923 0.8031 0.0921
O: 0.5827 0.8448 0.8296
O: 0.9857 0.1526 0.8947
O: 0.5498 0.3474 0.3947
O: 0.0498 0.6526 0.6053
O: 0.7447 0.6234 0.7329
Nb: 0.2561 0.6601 0.0389
O: 0.7701 0.5124 0.8631
Na: 0.8055 0.2845 0.2846
O: 0.7660 0.1573 0.0407
P: 0.2504 0.1954 0.6864
Na: 0.2303 0.7841 0.2154
O: 0.5429 0.2116 0.1831
O: 0.0827 0.1552 0.1704
O: 0.2908 0.1237 0.7672
O: 0.2447 0.3766 0.2671
O: 0.4923 0.1969 0.9079
P: 0.7853 0.6956 0.8136
O: 0.9929 0.2885 0.6830
O: 0.2660 0.8427 0.9593
O: 0.0432 0.3033 0.4077
O: 0.5628 0.5275 0.0084
O: 0.5432 0.6967 0.5923
Nb: 0.7798 0.1601 0.4611
Nb: 0.7607 0.9888 0.1267
Nb: 0.2798 0.8399 0.5389
O: 0.4929 0.7115 0.3170
O: 0.2701 0.4876 0.1369
O: 0.0429 0.7884 0.8169
Nb: 0.7751 0.5110 0.6268
O: 0.2698 0.6572 0.4594
Na: 0.3055 0.7155 0.7154
O: 0.2653 0.0120 0.6370
Na: 0.7303 0.2159 0.7846
O: 0.9735 0.9727 0.5083

uncorrected energy	-7.991	eV/atom
space-group type	P2_12_12_1 (19)
mass density	3.6	g cm⁻³
energy relative to the elements, uncorrected	-2.447	eV/atom


7.
NaNbPO6: relaxed, GGA-PBE.

Cell: 5.1205 5.0481 5.0481 Å, 120.00 90.00 90.00°
Last column: magnetic moment on the atom in μB.
Fractional coordinates of all 9 atoms:
Nb: 0.5000 0.6667 0.3333  -0.06
P: 0.5000 0.0000 0.0000  -0.01
Na: 0.0000 0.3333 0.6667  0.00
O: 0.3072 0.7353 0.0249  0.16
O: 0.6928 0.2896 0.0249  0.16
O: 0.3072 0.2896 0.2647  0.16
O: 0.3072 0.9751 0.7104  0.16
O: 0.6928 0.7353 0.7104  0.16
O: 0.6928 0.9751 0.2647  0.16

uncorrected energy	-7.085	eV/atom
space-group type	P312 (149)
mass density	3.6	g cm⁻³
energy relative to the elements, uncorrected	-1.913	eV/atom


8.
Na2NbPO6: relaxed, GGA-PBE.

Cell: 4.6673 5.0447 5.0447 Å, 90.00 90.00 90.00°
Fractional coordinates of all 10 atoms:
O: 0.6787 0.7721 0.7721
P: 0.5796 0.0000 0.0000
O: 0.6787 0.7721 0.2279
O: 0.6787 0.2279 0.2279
Na: 0.0584 0.0000 0.5000
O: 0.2505 0.0000 0.0000
Na: 0.0584 0.5000 0.0000
O: 0.1976 0.5000 0.5000
Nb: 0.5874 0.5000 0.5000
O: 0.6787 0.2279 0.7721

uncorrected energy	-6.925	eV/atom
space-group type	P4mm (99)
mass density	3.7	g cm⁻³
energy relative to the elements, uncorrected	-2.139	eV/atom


9.
NaNbP2O: relaxed, GGA-PBE.

Cell: 4.9822 4.9822 3.9793 Å, 90.00 90.00 90.00°
Last column: magnetic moment on the atom in μB.
Fractional coordinates of all 5 atoms:
P: 0.0000 0.5000 0.0000  0.14
O: 0.0000 0.0000 0.5000  0.14
P: 0.5000 0.0000 0.0000  0.14
Na: 0.5000 0.5000 0.5000  0.00
Nb: 0.0000 0.0000 0.0000  -0.07

uncorrected energy	-5.998	eV/atom
space-group type	P4/mmm (123)
mass density	3.3	g cm⁻³
energy relative to the elements, uncorrected	-0.564	eV/atom
excess energy over the best structure of this formula in the dataset	0	meV per atom


10.
Na6Nb8P5O35: relaxed, GGA-PBE.

Cell: 9.0690 9.0690 11.4494 Å, 66.67 66.67 60.00°
Last column: magnetic moment on the atom in μB.
Fractional coordinates of all 54 atoms:
O: 0.4325 0.6933 0.1554  0.00
Na: 0.4267 0.0000 0.0000  0.00
Na: 0.5733 0.4267 0.0000  0.00
Nb: 0.9266 0.1809 0.1900  0.16
Na: 0.7146 0.5000 0.5000  0.00
Nb: 0.7024 0.9266 0.1900  0.16
O: 0.7189 0.4325 0.1554  0.00
O: 0.3896 0.1288 0.4329  0.00
O: 0.5454 0.5454 0.3637  0.00
O: 0.4546 0.4546 0.6363  0.00
Na: 0.5000 0.2854 0.5000  0.00
P: 0.5949 0.5949 0.2152  0.00
O: 0.2885 0.4394 0.1988  0.00
O: 0.3839 0.8414 0.6052  0.00
Nb: 0.7642 0.7642 0.7075  0.04
O: 0.9514 0.8712 0.5671  0.00
O: 0.0987 0.9473 0.2051  -0.01
Nb: 0.2976 0.8191 0.8100  0.16
O: 0.7489 0.0987 0.2051  -0.01
O: 0.6933 0.7189 0.1554  0.00
Na: 0.2854 0.7146 0.5000  0.00
O: 0.1586 0.6161 0.3948  0.00
O: 0.0000 0.2388 0.0000  -0.01
O: 0.0527 0.9013 0.7949  -0.01
O: 0.1696 0.3839 0.6052  0.00
O: 0.2811 0.3067 0.8446  0.00
Na: 0.0000 0.5733 0.0000  0.00
Nb: 0.8191 0.0734 0.8100  0.16
O: 0.3067 0.5675 0.8446  0.00
O: 0.2388 0.7612 0.0000  -0.01
O: 0.6161 0.8304 0.3948  0.00
O: 0.8712 0.6104 0.5671  0.00
O: 0.8414 0.1696 0.6052  0.00
O: 0.5606 0.7115 0.8012  0.00
O: 0.9267 0.5606 0.8012  0.00
O: 0.0486 0.3896 0.4329  0.00
P: 0.4051 0.4051 0.7848  0.00
O: 0.8304 0.1586 0.3948  0.00
O: 0.5675 0.2811 0.8446  0.00
Nb: 0.2358 0.2358 0.2925  0.04
O: 0.1288 0.0486 0.4329  0.00
P: 0.9388 0.0612 0.5000  0.00
O: 0.0733 0.2885 0.1988  0.00
P: 0.5000 0.9388 0.5000  0.00
Nb: 0.1809 0.7024 0.1900  0.16
O: 0.6104 0.9514 0.5671  0.00
O: 0.2511 0.0527 0.7949  -0.01
O: 0.9013 0.2511 0.7949  -0.01
O: 0.4394 0.0733 0.1988  0.00
Nb: 0.0734 0.2976 0.8100  0.16
P: 0.0612 0.5000 0.5000  0.00
O: 0.7115 0.9267 0.8012  0.00
O: 0.9473 0.7489 0.2051  -0.01
O: 0.7612 0.0000 0.0000  -0.01

uncorrected energy	-7.778	eV/atom
space-group type	R32 (155)
mass density	3.7	g cm⁻³
energy relative to the elements, uncorrected	-2.425	eV/atom


11.
Na2PaNbO8: relaxed, GGA-PBE.

Cell: 6.3871 6.3871 6.0013 Å, 90.00 90.00 120.00°
Last column: magnetic moment on the atom in μB.
Fractional coordinates of all 12 atoms:
O: 0.8655 0.1345 0.7715  0.11
O: 0.1345 0.2690 0.2285  0.11
Na: 0.6667 0.3333 0.8071  0.00
Na: 0.3333 0.6667 0.1929  0.00
O: 0.8655 0.7310 0.7715  0.11
O: 0.2690 0.1345 0.7715  0.11
O: 0.7310 0.8655 0.2285  0.11
O: 0.6667 0.3333 0.3762  1.31
O: 0.1345 0.8655 0.2285  0.11
O: 0.3333 0.6667 0.6238  1.31
Pa: 0.0000 0.0000 0.5000  -0.03
Nb: 0.0000 0.0000 0.0000  -0.03

uncorrected energy	-6.762	eV/atom
space-group type	P-3m1 (164)
mass density	3.9	g cm⁻³
energy relative to the elements, uncorrected	-1.606	eV/atom


12.
Na4PaNb3O12: relaxed, GGA-PBE.

Cell: 7.1006 7.1006 7.1006 Å, 109.47 109.47 109.47°
Fractional coordinates of all 20 atoms:
O: 0.2600 0.2600 0.0000
Nb: 0.0000 0.5000 0.5000
O: 0.7500 0.2500 0.5000
Nb: 0.5000 0.0000 0.5000
Na: 0.0000 0.5000 0.0000
O: 0.7400 0.7400 0.0000
O: 0.7400 0.0000 0.7400
Na: 0.5000 0.0000 0.0000
O: 0.2500 0.5000 0.7500
Na: 0.0000 0.0000 0.5000
O: 0.0000 0.2600 0.2600
O: 0.2600 0.0000 0.2600
Na: 0.5000 0.5000 0.5000
O: 0.7500 0.5000 0.2500
O: 0.0000 0.7400 0.7400
O: 0.5000 0.7500 0.2500
Nb: 0.5000 0.5000 0.0000
Pa: 0.0000 0.0000 0.0000
O: 0.2500 0.7500 0.5000
O: 0.5000 0.2500 0.7500

uncorrected energy	-7.744	eV/atom
space-group type	Im-3m (229)
mass density	4.8	g cm⁻³
energy relative to the elements, uncorrected	-2.520	eV/atom